Material: FePt3O
Method: DFT, PBE with a Hubbard U
State: optimized geometry

Lattice parameters (Å, degrees): 4.2526 4.2526 4.2526 90.00 90.00 90.00
Last column: nearest neighbours and their distance in Å.
Atoms (fractional coordinates):
Fe1 0.0000 0.0000 0.0000  12 Pt 3.01
Pt1 0.0000 0.5000 0.5000  2 O 2.13
Pt2 0.5000 0.0000 0.5000  2 O 2.13
Pt3 0.5000 0.5000 0.0000  2 O 2.13
O1 0.5000 0.5000 0.5000  6 Pt 2.13

Energy above the lowest structure with this stoichiometry ... 0.0 meV/atom
Calculated volume ... 15.4 A^3/atom
SG ... Pm-3m